Material: Zr6SnBi2
Method: DFT, PBE
State: optimized geometry

D(E_F) in states/eV/f.u.: 7.75
Formation energy from the elements in eV per atom: -0.20
Space-group type: No. 14
Size of the total moment in μB per atom: 0.000

Cell: 5.703 8.138 10.945 Å, 90.00 119.98 90.00°
Atoms (fractional coordinates):
Zr 0.019 0.190 0.438
Zr 0.019 0.310 0.938
Zr 0.299 0.021 0.194
Zr 0.299 0.479 0.694
Zr 0.337 0.660 0.447
Zr 0.337 0.840 0.947
Zr 0.663 0.160 0.053
Zr 0.663 0.340 0.553
Zr 0.701 0.521 0.306
Zr 0.701 0.979 0.806
Zr 0.981 0.690 0.062
Zr 0.981 0.810 0.562
Sn 0.500 0.000 0.500
Sn 0.500 0.500 0.000
Bi 0.158 0.123 0.745
Bi 0.158 0.377 0.245
Bi 0.842 0.623 0.755
Bi 0.842 0.877 0.255

---

Material: Zr2Be2Au
Method: DFT, PBE
State: optimized geometry

D(E_F) in states/eV/f.u.: 2.48
Energy above the most stable polymorph in this dataset in meV/atom: 604
Formation energy from the elements in eV per atom: 0.20
Space-group type: No. 127
Size of the total moment in μB per atom: 0.000

Cell: 7.851 7.851 2.796 Å, 90.00 90.00 90.00°
Atoms (fractional coordinates):
Zr 0.179 0.321 0.000
Zr 0.321 0.821 0.000
Zr 0.679 0.179 0.000
Zr 0.821 0.679 0.000
Be 0.101 0.601 0.500
Be 0.399 0.101 0.500
Be 0.601 0.899 0.500
Be 0.899 0.399 0.500
Au 0.000 0.000 0.000
Au 0.500 0.500 0.000

---

Material: PmNd2Co
Method: DFT, PBE
State: optimized geometry

D(E_F) in states/eV/f.u.: 5.53
Energy above the most stable polymorph in this dataset in meV/atom: 21
Formation energy from the elements in eV per atom: -0.05
Space-group type: No. 63
Size of the total moment in μB per atom: 0.000

Cell: 6.360 6.360 9.947 Å, 90.00 90.00 145.63°
Atoms (fractional coordinates):
Pm 0.092 0.908 0.750
Pm 0.908 0.092 0.250
Nd 0.361 0.639 0.573
Nd 0.361 0.639 0.927
Nd 0.639 0.361 0.073
Nd 0.639 0.361 0.427
Co 0.236 0.764 0.250
Co 0.764 0.236 0.750

---

Material: CaCu2Br
Method: DFT, PBE
State: optimized geometry

D(E_F) in states/eV/f.u.: 2.02
Energy above the most stable polymorph in this dataset in meV/atom: 354
Space-group type: No. 122
Size of the total moment in μB per atom: 0.000

Cell: 6.421 6.421 6.421 Å, 100.06 100.06 130.58°
Atoms (fractional coordinates):
Ca 0.000 0.000 0.000
Ca 0.750 0.250 0.500
Cu 0.148 0.625 0.023
Cu 0.375 0.398 0.523
Cu 0.602 0.125 0.977
Cu 0.875 0.852 0.477
Br 0.250 0.750 0.500
Br 0.500 0.500 0.000

---

Material: Na3SnBr6
Method: DFT, PBE
State: optimized geometry

D(E_F) in states/eV/f.u.: 6.52
Energy above the most stable polymorph in this dataset in meV/atom: 12
Space-group type: No. 14
Size of the total moment in μB per atom: 0.000

Cell: 7.272 7.765 13.090 Å, 90.00 123.20 90.00°
Atoms (fractional coordinates):
Na 0.000 0.000 0.000
Na 0.000 0.500 0.500
Na 0.204 0.089 0.740
Na 0.204 0.411 0.240
Na 0.796 0.589 0.760
Na 0.796 0.911 0.260
Sn 0.500 0.000 0.500
Sn 0.500 0.500 0.000
Br 0.118 0.184 0.430
Br 0.118 0.316 0.930
Br 0.245 0.696 0.418
Br 0.245 0.804 0.918
Br 0.411 0.063 0.263
Br 0.411 0.437 0.763
Br 0.589 0.563 0.237
Br 0.589 0.937 0.737
Br 0.755 0.196 0.082
Br 0.755 0.304 0.582
Br 0.882 0.684 0.070
Br 0.882 0.816 0.570

---

Material: Zr2InPt
Method: DFT, PBE
State: optimized geometry

D(E_F) in states/eV/f.u.: 4.47
Formation energy from the elements in eV per atom: -0.62
Space-group type: No. 123
Size of the total moment in μB per atom: 0.000

Cell: 3.161 3.161 8.193 Å, 90.00 90.00 90.00°
Atoms (fractional coordinates):
Zr 0.000 0.000 0.226
Zr 0.000 0.000 0.774
In 0.500 0.500 0.500
Pt 0.500 0.500 0.000

---

Material: NpPaSbMo
Method: DFT, PBE
State: optimized geometry

D(E_F) in states/eV/f.u.: 6.70
Space-group type: No. 216
Size of the total moment in μB per atom: 1.182
Raw total energy in eV/atom: -9.214

Cell: 4.953 4.953 4.953 Å, 60.00 60.00 60.00°
Atoms (fractional coordinates):
Np 0.000 0.000 0.000
Pa 0.250 0.250 0.250
Sb 0.750 0.750 0.750
Mo 0.500 0.500 0.500

---

Material: BC2
Method: DFT, PBE
State: optimized geometry

D(E_F) in states/eV/f.u.: 0.18
Energy above the most stable polymorph in this dataset in meV/atom: 80
Formation energy from the elements in eV per atom: 0.32
Space-group type: No. 8
Size of the total moment in μB per atom: 0.000

Cell: 6.050 6.050 5.182 Å, 103.00 103.00 25.37°
Atoms (fractional coordinates):
B 0.000 0.000 0.000
B 0.544 0.544 0.531
B 0.669 0.669 0.936
B 0.876 0.876 0.303
C 0.227 0.227 0.432
C 0.235 0.235 0.922
C 0.309 0.309 0.222
C 0.312 0.312 0.717
C 0.566 0.566 0.094
C 0.650 0.650 0.389
C 0.889 0.889 0.752
C 0.980 0.980 0.560